*one*
Ac2Pa2S7, optimized geometry, DFT PBE; magnetic moment = 2.0 μB per formula unit; calculated density = 6.30 g cm⁻³; N(E_F) = 10.6 states/eV per cell
1.0
-5.681 3.084 1.747
1.294 -1.299 6.498
3.944 5.404 0.296
Ac Pa S
2 2 7
Cartesian
-0.662 5.744 4.788
0.218 1.445 3.753
-3.066 3.715 1.353
2.622 3.475 7.188
2.290 2.382 1.748
-1.866 0.563 5.771
-2.734 4.807 6.793
1.422 6.626 2.770
0.000 0.000 0.000
0.122 3.249 5.998
-0.566 3.940 2.543



*two*
Ac2Pa2S7, optimized geometry, DFT PBE; magnetic moment = 2.0 μB per formula unit; calculated density = 6.12 g cm⁻³; N(E_F) = 14.7 states/eV per cell
1.0
-9.219 2.533 0.358
-5.692 -3.605 6.794
-3.147 5.614 7.079
Ac Pa S
4 4 14
Cartesian
-11.286 2.839 8.894
-9.713 0.032 5.354
-8.441 4.642 5.497
-6.677 1.573 8.715
-6.867 1.835 1.958
-5.103 -1.234 5.176
-3.831 3.375 5.318
-2.257 0.568 1.779
-5.737 4.142 7.095
-7.161 -1.017 6.935
-5.984 3.723 3.699
-7.104 -0.336 3.573
-13.544 3.407 10.673
-9.136 2.418 3.333
-4.598 1.251 0.582
-4.431 1.020 6.533
-1.925 2.608 3.542
-3.045 -1.452 3.416
-8.923 2.125 10.897
-9.029 2.271 7.115
-10.897 5.560 7.295
-12.321 0.401 7.135



Stability verdict: *two*, ahead by 7.9 kJ/mol of atoms



*one*
AcPaS2, optimized geometry, DFT PBE; magnetic moment = 0.6 μB per formula unit; calculated density = 8.91 g cm⁻³; N(E_F) = 4.8 states/eV per cell
1.0
4.025 0.000 0.000
2.013 3.486 0.000
2.013 1.162 6.931
Ac Pa S
1 1 2
Cartesian
4.025 2.324 3.466
0.000 0.000 0.000
6.038 3.486 5.375
2.013 1.162 1.556



*two*
AcPaS2, optimized geometry, DFT PBE; magnetic moment = 1.2 μB per formula unit; calculated density = 9.61 g cm⁻³; N(E_F) = 6.4 states/eV per cell
1.0
-3.274 -1.365 -0.060
0.645 -1.406 -3.193
2.434 -5.974 3.122
Ac Pa S
1 1 2
Cartesian
-0.098 -4.373 -0.065
-1.315 -1.386 -1.626
1.888 -4.633 2.422
0.546 -1.341 0.701



Stability verdict: *one*, ahead by 36.5 kJ/mol of atoms



*one*
AcPaS4, optimized geometry, DFT PBE; magnetic moment = 0.0 μB per formula unit; calculated density = 6.44 g cm⁻³
1.0
-0.792 3.344 -5.685
-5.747 -3.159 -1.058
-0.087 4.844 6.744
Ac Pa S
2 2 8
Cartesian
-4.992 4.982 1.687
-1.635 0.046 -1.686
-0.440 4.094 0.529
-2.917 0.842 2.843
-5.310 1.997 1.919
-4.190 1.449 -2.442
-1.317 3.031 -1.918
-2.437 3.580 2.443
-5.708 3.671 -0.927
-3.793 -0.221 0.397
-0.919 1.357 0.928
-2.834 5.249 -0.396



*two*
AcPaS4, optimized geometry, DFT PBE; magnetic moment = 0.0 μB per formula unit; calculated density = 5.29 g cm⁻³
1.0
-3.611 -2.125 -0.995
3.413 -5.555 -0.523
-1.089 -1.122 6.351
Ac Pa S
1 1 4
Cartesian
-1.806 -1.063 -0.497
1.162 -3.339 2.914
0.502 -1.443 1.259
1.822 -5.234 4.568
0.146 -5.179 1.211
-1.433 -3.624 3.622



Stability verdict: *one*, ahead by 7.9 kJ/mol of atoms



*one*
AcPaSb3, optimized geometry, DFT PBE; magnetic moment = 0.0 μB per formula unit; calculated density = 6.96 g cm⁻³; N(E_F) = 4.2 states/eV per cell
1.0
5.812 0.000 0.000
0.000 5.812 0.000
0.000 0.000 5.812
Sb Ac Pa
3 1 1
Cartesian
0.000 2.906 0.000
0.000 0.000 2.906
2.906 0.000 0.000
2.906 2.906 2.906
0.000 0.000 0.000



*two*
AcPaSb3, optimized geometry, DFT PBE; magnetic moment = 0.0 μB per formula unit; calculated density = 8.61 g cm⁻³; N(E_F) = 17.1 states/eV per cell
1.0
-4.844 4.470 0.904
-4.080 -3.741 -3.369
-3.992 -6.840 12.429
Ac Pa Sb
4 4 12
Cartesian
-8.309 -3.086 7.454
-4.607 -3.025 2.510
-8.941 -2.543 1.383
-3.975 -3.569 8.581
-3.788 0.707 0.686
-6.706 -9.053 8.826
-9.128 -6.818 9.278
-1.366 -1.528 0.234
-3.004 -4.335 5.336
-7.490 -4.011 4.176
-5.068 -6.246 3.724
-5.426 -2.101 5.788
-5.474 -5.700 11.092
-7.442 -0.411 -1.128
-4.202 -1.896 -0.904
-8.714 -4.215 10.868
-6.371 -6.031 7.916
-6.545 -0.080 2.048
-2.256 -0.603 3.137
-10.661 -5.508 6.827



Stability verdict: *two*, ahead by 35.7 kJ/mol of atoms



*one*
AcSc2Pa, optimized geometry, DFT PBE; magnetic moment = 0.0 μB per formula unit; calculated density = 7.91 g cm⁻³; N(E_F) = 7.1 states/eV per cell
1.0
3.331 0.000 0.000
1.666 2.885 0.000
1.666 0.962 11.965
Sc Ac Pa
2 1 1
Cartesian
1.666 0.962 8.924
4.997 2.885 3.041
3.331 1.923 5.983
0.000 0.000 0.000



*two*
AcSc2Pa, optimized geometry, DFT PBE; magnetic moment = 0.0 μB per formula unit; calculated density = 7.85 g cm⁻³; N(E_F) = 7.0 states/eV per cell
1.0
3.508 0.000 0.000
0.000 3.508 0.000
0.000 0.000 9.421
Sc Ac Pa
2 1 1
Cartesian
0.000 0.000 7.390
0.000 0.000 2.032
1.754 1.754 4.711
1.754 1.754 0.000



Stability verdict: *two*, ahead by 26.3 kJ/mol of atoms



*one*
AcPaSe4, optimized geometry, DFT PBE; magnetic moment = 0.1 μB per formula unit; calculated density = 7.52 g cm⁻³; N(E_F) = 7.3 states/eV per cell
1.0
-0.144 3.968 -5.354
-5.386 3.088 2.433
4.530 5.048 3.620
Ac Pa Se
2 2 8
Cartesian
2.265 2.524 1.810
-0.500 6.052 0.349
-2.765 3.528 -1.460
0.000 0.000 0.000
-0.783 7.502 3.177
-0.428 9.241 0.307
2.276 7.381 -0.484
-2.922 6.462 -1.687
1.921 5.642 2.386
-3.277 4.723 1.183
-0.573 2.863 0.392
-0.218 4.602 -2.478



*two*
AcPaSe4, optimized geometry, DFT PBE; magnetic moment = 0.0 μB per formula unit; calculated density = 6.10 g cm⁻³
1.0
4.458 0.000 0.000
0.000 6.875 0.047
0.000 0.059 6.875
Ac Pa Se
1 1 4
Cartesian
0.000 3.467 3.461
2.229 0.000 0.000
2.229 1.993 4.938
0.000 5.699 5.690
4.458 1.234 1.233
2.229 4.941 1.985



Stability verdict: *two*, ahead by 15.3 kJ/mol of atoms